A relaxed Tm2Ga3Sn2 crystal. Source: the Alexandria database, functional PBE-GGA.

POSCAR file:
```
Tm2Ga3Sn2
1.0
-4.350 4.350 4.350
4.350 -4.350 4.350
4.350 4.350 -4.350
Tm Ga Sn
4 6 4
direct
0.000 0.486 0.500
0.014 0.014 0.014
0.486 0.500 0.000
0.500 0.000 0.486
0.004 0.254 0.750
0.246 0.250 0.496
0.250 0.496 0.246
0.254 0.750 0.004
0.496 0.246 0.250
0.750 0.004 0.254
0.000 0.878 0.500
0.500 0.000 0.878
0.622 0.622 0.622
0.878 0.500 0.000
```

* ΔH_f (0 K): -0.2987 eV/atom
* SG: I2_13 (199)
* crystal system: cubic

---

A relaxed MgAsRu2 crystal. Source: the Alexandria database, functional PBE-GGA.

POSCAR file:
```
MgAsRu2
1.0
4.391 0.000 0.000
0.000 1.468 4.740
0.000 -1.468 4.740
Mg As Ru
1 1 2
direct
0.000 0.000 0.000
0.500 0.380 0.380
0.000 0.261 0.261
0.500 0.652 0.652
```

* ΔH_f (0 K): -0.0318 eV/atom
* SG: Amm2 (38)
* crystal system: orthorhombic

---

A relaxed NaOsRh2 crystal. Source: the Alexandria database, functional PBE-GGA.

POSCAR file:
```
NaOsRh2
1.0
0.000 3.115 3.115
3.115 0.000 3.115
3.115 3.115 0.000
Na Os Rh
1 1 2
direct
0.000 0.000 0.000
0.500 0.500 0.500
0.250 0.250 0.250
0.750 0.750 0.750
```

* ΔE to the lowest computed polymorph: 0 meV per atom
* ΔH_f (0 K): 0.5862 eV/atom
* SG: Fm-3m (225)
* crystal system: cubic

---

no.,density of states at the Fermi level (states/eV per cell),theoretical density (g/cm³),volume (Å³/cell)
1,6.934,7.91,329.2
2,4.217,8.19,61.1
3,4.872,11.51,60.5